The following is a PBE calculation of crystalline PmTiCo4 at its relaxed geometry, from Alexandria.

Computed properties:
Symmetry = No. 216
E_form = -0.084 eV per atom

```
PmTiCo4
1.0
0.0000 3.5016 3.5016
3.5016 0.0000 3.5016
3.5016 3.5016 0.0000
Pm Ti Co
1 1 4
Direct
0.0000 0.0000 0.0000
0.2500 0.2500 0.2500
0.1279 0.6240 0.6240
0.6240 0.1279 0.6240
0.6240 0.6240 0.1279
0.6240 0.6240 0.6240
```